(1)
K2TaRh | PBEsol | optimized geometry

abc: 2.7769 2.7769 11.6571
angles: 90.00 90.00 90.00
Last column: nearest neighbours and their distance in Å.
Fractional positions:
K 0.0000 0.0000 0.2179  4 K 2.78
K 0.0000 0.0000 0.7821  4 K 2.78
Ta 0.5000 0.5000 0.5000  4 Ta 2.78
Rh 0.5000 0.5000 0.0000  4 Rh 2.78

Mass density in g/cm3: 6.69
Fermi-level density of states in states/eV per atom: 1.3005
Excess energy over the best structure of this formula in the dataset in meV per atom: 647.0
Magnetization in μB per formula unit: 0.3
Calculated formation energy in meV per atom: 1207



(2)
Sc2Co | PBEsol | optimized geometry

abc: 6.5488 6.5488 4.2692
angles: 90.00 90.00 120.00
Last column: nearest neighbours and their distance in Å.
Fractional positions:
Sc 0.0000 0.2638 0.0000  2 Co 2.44
Sc 0.0000 0.5906 0.5000  5 Co 2.68-2.91
Sc 0.2638 0.0000 0.0000  2 Co 2.44
Sc 0.4094 0.4094 0.5000  5 Co 2.68-2.91
Sc 0.5906 0.0000 0.5000  5 Co 2.68-2.91
Sc 0.7362 0.7362 0.0000  2 Co 2.44
Co 0.0000 0.0000 0.5000  9 Sc 2.68-2.75
Co 0.3333 0.6667 0.0000  3 Sc 2.44
Co 0.6667 0.3333 0.0000  3 Sc 2.44

Mass density in g/cm3: 4.68
Fermi-level density of states in states/eV per atom: 1.2853
Magnetization in μB per formula unit: 0.0
Calculated formation energy in meV per atom: -202



(3)
LiNiRh2 | PBEsol | optimized geometry

abc: 8.6482 8.6482 8.6482
angles: 17.45 17.45 17.45
Last column: nearest neighbours and their distance in Å.
Fractional positions:
Li 0.0000 0.0000 0.0000  6 Li 2.62, 6 Rh 2.67
Ni 0.5000 0.5000 0.5000  6 Rh 2.55, 6 Ni 2.62
Rh 0.2472 0.2472 0.2472  3 Ni 2.55, 6 Rh 2.62, 3 Li 2.67
Rh 0.7528 0.7528 0.7528  3 Ni 2.55, 6 Rh 2.62, 3 Li 2.67

Mass density in g/cm3: 8.88
Fermi-level density of states in states/eV per atom: 1.2648
Excess energy over the best structure of this formula in the dataset in meV per atom: 40.2
Magnetization in μB per formula unit: 1.8
Calculated formation energy in meV per atom: 19



(4)
InBi2AsSe | PBEsol | optimized geometry

abc: 5.5302 5.5302 5.0095
angles: 90.00 90.00 90.00
Last column: nearest neighbours and their distance in Å.
Fractional positions:
In 0.0000 0.0000 0.0000  8 Bi 3.73, 4 Se 3.91
Bi 0.0000 0.5000 0.5000  2 As 2.77
Bi 0.5000 0.0000 0.5000  2 As 2.77
As 0.5000 0.5000 0.5000  2 Se 2.50, 4 Bi 2.77
Se 0.5000 0.5000 0.0000  2 As 2.50

Mass density in g/cm3: 7.44
Fermi-level density of states in states/eV per atom: 0.7349
Magnetization in μB per formula unit: 0.0
Formation energy without anion corrections in eV/f.u.: 1.95



(5)
KY2Cu | PBEsol | optimized geometry

abc: 5.2059 5.2059 5.2059
angles: 60.00 60.00 60.00
Last column: nearest neighbours and their distance in Å.
Fractional positions:
K 0.0000 0.0000 0.0000  8 Y 3.19
Y 0.2500 0.2500 0.2500  4 Cu 3.19, 4 K 3.19
Y 0.7500 0.7500 0.7500  4 K 3.19, 4 Cu 3.19
Cu 0.5000 0.5000 0.5000  8 Y 3.19

Mass density in g/cm3: 4.67
Fermi-level density of states in states/eV per atom: 1.2096
Excess energy over the best structure of this formula in the dataset in meV per atom: 420.6
Magnetization in μB per formula unit: 0.0
Calculated formation energy in meV per atom: 559



(6)
CrAgTe2 | PBEsol | optimized geometry

abc: 7.4451 7.4451 7.4451
angles: 31.44 31.44 31.44
Last column: nearest neighbours and their distance in Å.
Fractional positions:
Cr 0.0000 0.0000 0.0000  6 Te 2.70-2.75
Ag 0.1432 0.1432 0.1432  4 Te 2.66-2.81
Te 0.2685 0.2685 0.2685  1 Ag 2.66, 3 Cr 2.70
Te 0.7355 0.7355 0.7355  3 Cr 2.75, 3 Ag 2.81

Mass density in g/cm3: 6.92
Fermi-level density of states in states/eV per atom: 0.1968
Magnetization in μB per formula unit: 3.0
Formation energy without anion corrections in eV/f.u.: -0.21



(7)
TiMnSn2 | PBEsol | optimized geometry

abc: 4.6715 4.6715 4.6715
angles: 60.00 60.00 60.00
Last column: nearest neighbours and their distance in Å.
Fractional positions:
Ti 0.0000 0.0000 0.0000  8 Sn 2.86
Mn 0.5000 0.5000 0.5000  8 Sn 2.86
Sn 0.2500 0.2500 0.2500  4 Mn 2.86, 4 Ti 2.86
Sn 0.7500 0.7500 0.7500  4 Mn 2.86, 4 Ti 2.86

Mass density in g/cm3: 7.84
Fermi-level density of states in states/eV per atom: 0.7567
Magnetization in μB per formula unit: 1.3
Calculated formation energy in meV per atom: 94



(8)
CrGeTe3 | PBEsol | optimized geometry

abc: 7.7552 7.7552 7.7552
angles: 52.15 52.15 52.15
Last column: nearest neighbours and their distance in Å.
Fractional positions:
Cr 0.1652 0.1652 0.1652  6 Te 2.73
Cr 0.8348 0.8348 0.8348  6 Te 2.73
Ge 0.4403 0.4403 0.4403  1 Ge 2.39, 3 Te 2.60
Ge 0.5597 0.5597 0.5597  1 Ge 2.39, 3 Te 2.60
Te 0.0391 0.4197 0.7887  1 Ge 2.60, 2 Cr 2.73
Te 0.2113 0.9609 0.5803  1 Ge 2.60, 2 Cr 2.73
Te 0.4197 0.7887 0.0391  1 Ge 2.60, 2 Cr 2.73
Te 0.5803 0.2113 0.9609  1 Ge 2.60, 2 Cr 2.73
Te 0.7887 0.0391 0.4197  1 Ge 2.60, 2 Cr 2.73
Te 0.9609 0.5803 0.2113  1 Ge 2.60, 2 Cr 2.73

Mass density in g/cm3: 6.27
Fermi-level density of states in states/eV per atom: 0.0643
Magnetization in μB per formula unit: 3.0
Formation energy without anion corrections in eV/f.u.: -0.51



(9)
Nb2TcBSb | PBEsol | optimized geometry

abc: 5.0837 5.0837 3.9641
angles: 90.00 90.00 90.00
Last column: nearest neighbours and their distance in Å.
Fractional positions:
Nb 0.0000 0.5000 0.0000  2 Sb 2.54
Nb 0.5000 0.0000 0.0000  2 Sb 2.54
Tc 0.0000 0.0000 0.5000  8 Nb 3.22, 4 B 3.59
B 0.5000 0.5000 0.5000  2 Sb 1.98
Sb 0.5000 0.5000 0.0000  2 B 1.98

Mass density in g/cm3: 6.75
Fermi-level density of states in states/eV per atom: 1.2883
Magnetization in μB per formula unit: 0.7
Formation energy without anion corrections in eV/f.u.: 11.16



(10)
Rb2NaAu | PBEsol | optimized geometry

abc: 9.0766 9.0766 9.0766
angles: 95.79 95.79 142.96
Last column: nearest neighbours and their distance in Å.
Fractional positions:
Rb 0.3750 0.0251 0.1501  2 Au 3.36
Rb 0.7751 0.6250 0.6501  2 Au 3.36
Rb 0.8750 0.2249 0.8499  2 Au 3.36
Rb 0.9749 0.1250 0.3499  2 Au 3.36
Na 0.2500 0.7500 0.5000  2 Au 2.88
Na 0.5000 0.5000 0.0000  2 Au 2.88
Au 0.0000 0.0000 0.0000  2 Na 2.88
Au 0.7500 0.2500 0.5000  2 Na 2.88

Mass density in g/cm3: 3.04
Fermi-level density of states in states/eV per atom: 0.3497
Excess energy over the best structure of this formula in the dataset in meV per atom: 0.0
Magnetization in μB per formula unit: 0.0
Calculated formation energy in meV per atom: -14



(11)
TaReSi | PBEsol | optimized geometry

abc: 7.4893 7.4893 7.4893
angles: 124.84 79.85 127.22
Last column: nearest neighbours and their distance in Å.
Fractional positions:
Ta 0.0038 0.2500 0.2538  5 Si 2.64-2.67, 4 Re 2.84-2.85
Ta 0.1642 0.1280 0.5362  5 Si 2.61-2.68, 2 Re 2.90
Ta 0.1880 0.6329 0.0551  5 Si 2.63-2.93, 6 Re 2.77-2.85
Ta 0.5779 0.1329 0.9449  5 Si 2.63-2.93, 6 Re 2.77-2.85
Ta 0.5918 0.6280 0.4638  5 Si 2.61-2.68, 2 Re 2.90
Ta 0.9962 0.7500 0.7462  5 Si 2.64-2.67, 4 Re 2.84-2.85
Re 0.3372 0.3372 0.0000  4 Si 2.49-2.55
Re 0.3372 0.8372 0.5000  4 Si 2.49-2.55
Re 0.5877 0.1807 0.3389  4 Si 2.40-2.52
Re 0.5877 0.7488 0.9069  4 Si 2.40-2.52
Re 0.8418 0.2488 0.6611  4 Si 2.40-2.52
Re 0.8418 0.6807 0.0931  4 Si 2.40-2.52
Si 0.2534 0.0811 0.1630  3 Re 2.52-2.55, 6 Ta 2.62-2.68
Si 0.2534 0.5904 0.6723  3 Re 2.52-2.55, 6 Ta 2.62-2.68
Si 0.5746 0.3512 0.7234  6 Re 2.40-2.49, 2 Ta 2.61-2.67
Si 0.6278 0.8512 0.2766  6 Re 2.40-2.49, 2 Ta 2.61-2.67
Si 0.9180 0.0904 0.8370  3 Re 2.52-2.55, 6 Ta 2.62-2.68
Si 0.9180 0.5811 0.3277  3 Re 2.52-2.55, 6 Ta 2.62-2.68

Mass density in g/cm3: 14.85
Fermi-level density of states in states/eV per atom: 0.4369
Magnetization in μB per formula unit: 0.0
Formation energy without anion corrections in eV/f.u.: -1.62



(12)
AlNiW3 | PBEsol | optimized geometry

abc: 4.4384 4.4384 4.4384
angles: 90.00 90.00 90.00
Last column: nearest neighbours and their distance in Å.
Fractional positions:
Al 0.0000 0.0000 0.0000  6 W 2.22
Ni 0.5000 0.5000 0.5000  12 W 3.14
W 0.0000 0.0000 0.5000  2 Al 2.22
W 0.0000 0.5000 0.0000  2 Al 2.22
W 0.5000 0.0000 0.0000  2 Al 2.22

Mass density in g/cm3: 12.10
Fermi-level density of states in states/eV per atom: 1.1959
Magnetization in μB per formula unit: 0.0
Calculated formation energy in meV per atom: 2194



(13)
Ta2HIr | PBEsol | optimized geometry

abc: 4.3324 4.3324 4.3324
angles: 60.00 60.00 60.00
Last column: nearest neighbours and their distance in Å.
Fractional positions:
Ta 0.2500 0.2500 0.2500  4 H 2.65, 4 Ir 2.65
Ta 0.7500 0.7500 0.7500  4 H 2.65, 4 Ir 2.65
H 0.0000 0.0000 0.0000  8 Ta 2.65
Ir 0.5000 0.5000 0.5000  8 Ta 2.65

Mass density in g/cm3: 16.03
Fermi-level density of states in states/eV per atom: 0.9598
Calculated total energy in hartree per atom: -0.34355
Magnetization in μB per formula unit: 0.0



(14)
CsK2Na | PBEsol | optimized geometry

abc: 15.9977 15.9977 15.9977
angles: 158.11 158.11 31.14
Last column: nearest neighbours and their distance in Å.
Fractional positions:
Cs 0.0000 0.0000 0.0000  4 Na 4.29, 4 K 4.46
Cs 0.7500 0.2500 0.5000  4 Na 4.29, 4 K 4.46
K 0.1468 0.6250 0.0218  4 K 4.11-4.49, 2 Na 4.37, 2 Cs 4.46
K 0.3750 0.3968 0.5218  4 K 4.11-4.49, 2 Na 4.37, 2 Cs 4.46
K 0.6032 0.1250 0.9782  4 K 4.11-4.49, 2 Na 4.37, 2 Cs 4.46
K 0.8750 0.8532 0.4782  4 K 4.11-4.49, 2 Na 4.37, 2 Cs 4.46
Na 0.2500 0.7500 0.5000  4 Cs 4.29, 4 K 4.37
Na 0.5000 0.5000 0.0000  4 Cs 4.29, 4 K 4.37

Mass density in g/cm3: 1.37
Fermi-level density of states in states/eV per atom: 0.7754
Excess energy over the best structure of this formula in the dataset in meV per atom: 50.8
Magnetization in μB per formula unit: 0.0
Calculated formation energy in meV per atom: 79



(15)
MgZrCd2 | PBEsol | optimized geometry

abc: 4.8581 4.8581 4.8581
angles: 60.00 60.00 60.00
Last column: nearest neighbours and their distance in Å.
Fractional positions:
Mg 0.0000 0.0000 0.0000  4 Zr 2.97, 4 Cd 2.97
Zr 0.7500 0.7500 0.7500  4 Cd 2.97, 4 Mg 2.97
Cd 0.2500 0.2500 0.2500  4 Cd 2.97, 4 Mg 2.97
Cd 0.5000 0.5000 0.5000  4 Zr 2.97, 4 Cd 2.97

Mass density in g/cm3: 6.97
Fermi-level density of states in states/eV per atom: 0.3797
Magnetization in μB per formula unit: 0.0
Calculated formation energy in meV per atom: 20



(16)
YScFe4 | PBEsol | optimized geometry

abc: 4.9337 4.9337 4.9337
angles: 60.00 60.00 60.00
Last column: nearest neighbours and their distance in Å.
Fractional positions:
Y 0.0000 0.0000 0.0000  12 Fe 2.89, 4 Sc 3.02
Sc 0.7500 0.7500 0.7500  12 Fe 2.89, 4 Y 3.02
Fe 0.3754 0.3754 0.3754  6 Fe 2.46-2.48
Fe 0.3754 0.3754 0.8737  6 Fe 2.46-2.48
Fe 0.3754 0.8737 0.3754  6 Fe 2.46-2.48
Fe 0.8737 0.3754 0.3754  6 Fe 2.46-2.48

Mass density in g/cm3: 6.99
Fermi-level density of states in states/eV per atom: 0.7596
Magnetization in μB per formula unit: 5.4
Calculated formation energy in meV per atom: -157



(17)
Co2MoP | PBEsol | optimized geometry

abc: 4.0043 4.0043 4.0043
angles: 60.00 60.00 60.00
Last column: nearest neighbours and their distance in Å.
Fractional positions:
Co 0.0000 0.0000 0.0000  4 Mo 2.45, 4 Co 2.45
Co 0.2500 0.2500 0.2500  4 Co 2.45, 4 P 2.45
Mo 0.7500 0.7500 0.7500  4 Co 2.45, 4 P 2.45
P 0.5000 0.5000 0.5000  4 Mo 2.45, 4 Co 2.45

Mass density in g/cm3: 8.95
Fermi-level density of states in states/eV per atom: 0.7053
Magnetization in μB per formula unit: 0.0
Calculated formation energy in meV per atom: -171



(18)
YH3O3 | PBEsol | optimized geometry

abc: 6.2251 6.2251 3.4881
angles: 90.00 90.00 120.00
Last column: nearest neighbours and their distance in Å.
Fractional positions:
Y 0.3333 0.6667 0.2500  9 O 2.39-2.43
Y 0.6667 0.3333 0.7500  9 O 2.39-2.43
H 0.1309 0.8526 0.7500  1 O 0.98
H 0.1474 0.2782 0.7500  1 O 0.98
H 0.2782 0.1309 0.2500  1 O 0.98
H 0.7218 0.8691 0.7500  1 O 0.98
H 0.8526 0.7218 0.2500  1 O 0.98
H 0.8691 0.1474 0.2500  1 O 0.98
O 0.0841 0.3940 0.7500  1 H 0.98
O 0.3099 0.9159 0.7500  1 H 0.98
O 0.3940 0.3099 0.2500  1 H 0.98
O 0.6060 0.6901 0.7500  1 H 0.98
O 0.6901 0.0841 0.2500  1 H 0.98
O 0.9159 0.6060 0.2500  1 H 0.98

Mass density in g/cm3: 3.97
Fermi-level density of states in states/eV per atom: 0.0000
Calculated total energy in hartree per atom: -0.24352
Magnetization in μB per formula unit: 0.0



(19)
ZnCo4Cu3O12 | PBEsol | optimized geometry

abc: 6.0706 6.0706 6.0706
angles: 109.47 109.47 109.47
Last column: nearest neighbours and their distance in Å.
Fractional positions:
Zn 0.0000 0.0000 0.0000  12 O 2.43
Co 0.0000 0.0000 0.5000  6 O 1.87
Co 0.0000 0.5000 0.0000  6 O 1.87
Co 0.5000 0.0000 0.0000  6 O 1.87
Co 0.5000 0.5000 0.5000  6 O 1.87
Cu 0.0000 0.5000 0.5000  4 O 1.85
Cu 0.5000 0.0000 0.5000  4 O 1.85
Cu 0.5000 0.5000 0.0000  4 O 1.85
O 0.1277 0.3010 0.8268  1 Cu 1.85, 2 Co 1.87
O 0.1732 0.4742 0.3010  1 Cu 1.85, 2 Co 1.87
O 0.1732 0.8723 0.6990  1 Cu 1.85, 2 Co 1.87
O 0.3010 0.1732 0.4742  1 Cu 1.85, 2 Co 1.87
O 0.3010 0.8268 0.1277  1 Cu 1.85, 2 Co 1.87
O 0.4742 0.3010 0.1732  1 Cu 1.85, 2 Co 1.87
O 0.5258 0.6990 0.8268  1 Cu 1.85, 2 Co 1.87
O 0.6990 0.1732 0.8723  1 Cu 1.85, 2 Co 1.87
O 0.6990 0.8268 0.5258  1 Cu 1.85, 2 Co 1.87
O 0.8268 0.1277 0.3010  1 Cu 1.85, 2 Co 1.87
O 0.8268 0.5258 0.6990  1 Cu 1.85, 2 Co 1.87
O 0.8723 0.6990 0.1732  1 Cu 1.85, 2 Co 1.87

Mass density in g/cm3: 6.59
Fermi-level density of states in states/eV per atom: 0.7585
Magnetization in μB per formula unit: 1.0
Formation energy without anion corrections in eV/f.u.: -16.49



(20)
TiGaBr2 | PBEsol | optimized geometry

abc: 4.9065 4.9065 4.9065
angles: 60.00 60.00 60.00
Last column: nearest neighbours and their distance in Å.
Fractional positions:
Ti 0.0000 0.0000 0.0000  8 Br 3.00
Ga 0.5000 0.5000 0.5000  8 Br 3.00
Br 0.2500 0.2500 0.2500  4 Ga 3.00, 4 Ti 3.00
Br 0.7500 0.7500 0.7500  4 Ga 3.00, 4 Ti 3.00

Mass density in g/cm3: 5.51
Fermi-level density of states in states/eV per atom: 0.8582
Magnetization in μB per formula unit: 2.6
Formation energy without anion corrections in eV/f.u.: -0.56